Entry 1:
An optimized crystal structure of PuAgRhAu, computed with PBE.

Its formation energy is -155 meV per atom. The total energy is -0.26123 hartree per atom.

The space group is F-43m (No. 216) and the conventional cell measures 6.7859, 6.7859 and 6.7859 Å, with angles of 90.00, 90.00 and 90.00 degrees. Symmetry generates all atoms from Pu at (0.0000, 0.0000, 0.0000), Ag at (0.0000, 0.0000, 0.5000), Rh at (0.2500, 0.2500, 0.2500) and Au at (0.2500, 0.2500, 0.7500).

***

Entry 2:
An optimized crystal structure of KTaSe2, computed with PBE.

For the energy relative to the elements, uncorrected, the calculation gives 0.034 eV per atom. The total energy is -0.18174 hartree per atom.

The space group is P4mm (No. 99) and the conventional cell measures 3.1607, 3.1607 and 10.5266 Å, with angles of 90.00, 90.00 and 90.00 degrees. Symmetry generates all atoms from K at (0.0000, 0.0000, 0.0000), Ta at (0.5000, 0.5000, 0.6801), Se at (0.0000, 0.0000, 0.5506) and Se at (0.5000, 0.5000, 0.2279).

***

Entry 3:
An optimized crystal structure of Ba2CaLaZn, computed with PBE.

Its formation energy is 738 meV per atom. The total energy is -0.06143 hartree per atom.

The space group is P4/mmm (No. 123) and the conventional cell measures 6.4172, 6.4172 and 6.1785 Å, with angles of 90.00, 90.00 and 90.00 degrees. Symmetry generates all atoms from Ba at (0.0000, 0.5000, 0.0000), Ca at (0.0000, 0.0000, 0.5000), La at (0.0000, 0.0000, 0.0000) and Zn at (0.5000, 0.5000, 0.5000).

***

Entry 4:
An optimized crystal structure of CaPd2Br, computed with PBE.

For the energy relative to the elements, uncorrected, the calculation gives -0.478 eV per atom. The value obtained for the polymorph energy (0 for the lowest one) is 0 meV/atom. The total energy is -0.14673 hartree per atom.

The space group is I-42d (No. 122) and the conventional cell measures 4.0266, 4.0266 and 21.0196 Å, with angles of 90.00, 90.00 and 90.00 degrees. Symmetry generates all atoms from Ca at (0.0000, 0.0000, 0.0000), Pd at (0.2466, 0.2500, 0.1250) and Br at (0.0000, 0.0000, 0.5000).

***

Entry 5:
An optimized crystal structure of AlRuRh2, computed with PBE.

Its formation energy is -394 meV per atom. The total energy is -0.26915 hartree per atom.

The space group is P4/mmm (No. 123) and the conventional cell measures 2.7743, 2.7743 and 7.2289 Å, with angles of 90.00, 90.00 and 90.00 degrees. Symmetry generates all atoms from Al at (0.0000, 0.0000, 0.0000), Ru at (0.0000, 0.0000, 0.5000) and Rh at (0.5000, 0.5000, 0.2407).

***

Entry 6:
An optimized crystal structure of KLa2Sn3Se6, computed with PBE.

For the energy relative to the elements, uncorrected, the calculation gives -1.077 eV per atom. The total energy is -0.17392 hartree per atom.

The space group is C2/m (No. 12) and the conventional cell measures 18.9255, 4.5409 and 8.6296 Å, with angles of 90.00, 101.56 and 90.00 degrees. Symmetry generates all atoms from K at (0.0000, 0.0000, 0.0000), La at (0.1675, 0.5000, 0.3283), Sn at (0.0000, 0.0000, 0.5000), Sn at (0.1624, 0.5000, 0.8561), Se at (0.0104, 0.5000, 0.2715), Se at (0.1675, 0.0000, 0.5665) and Se at (0.1796, 0.0000, 0.0869).